(1)
Entry from Alexandria via LeMat-Bulk: La2PbBr after structural relaxation (PBE).

Output
calculated volume = 33.3 Å³/atom
E = -57.74 eV for the cell shown
Fermi-level density of states = 2.46 states/eV/f.u.

Structure (CIF):
```
data_La2PbBr
_cell_length_a 4.6885
_cell_length_b 4.6885
_cell_length_c 20.9540
_cell_angle_alpha 90.00
_cell_angle_beta 90.00
_cell_angle_gamma 120.00
_space_group_name_H-M_alt 'R -3 m'
_space_group_IT_number 166
_space_group_name_Hall '-R 3 2"'
loop_
_atom_site_label
_atom_site_fract_x
_atom_site_fract_y
_atom_site_fract_z
La1 0.0000 0.0000 0.2503
Pb1 0.0000 0.0000 0.5000
Br1 0.0000 0.0000 0.0000
```

(2)
Entry from Alexandria via LeMat-Bulk: LaPbBr2 after structural relaxation (PBE).

Output
calculated volume = 32.0 Å³/atom
E = -15.89 eV for the cell shown
Fermi-level density of states = 2.42 states/eV/f.u.

Structure (CIF):
```
data_LaPbBr2
_cell_length_a 4.054
_cell_length_b 5.210
_cell_length_c 6.058
_cell_angle_alpha 90.00
_cell_angle_beta 90.56
_cell_angle_gamma 90.00
_space_group_name_H-M_alt 'P 1 2/m 1'
_space_group_IT_number 10
loop_
_space_group_symop_operation_xyz
'x,y,z'
'-x,-y,-z'
'-x,y,-z'
'x,-y,z'
loop_
_atom_site_label
_atom_site_fract_x
_atom_site_fract_y
_atom_site_fract_z
La1 0.000 0.000 0.000
Pb1 0.500 0.000 0.500
Br1 0.211 0.500 0.242
```

(3)
Entry from Alexandria via LeMat-Bulk: La2Pb2Br after structural relaxation (PBE).

Output
calculated volume = 38.5 Å³/atom
E = -41.88 eV for the cell shown
Fermi-level density of states = 8.30 states/eV/f.u.

Structure (CIF):
```
data_La2Pb2Br
_cell_length_a 6.144
_cell_length_b 6.144
_cell_length_c 10.190
_cell_angle_alpha 90.00
_cell_angle_beta 90.00
_cell_angle_gamma 90.00
_space_group_name_H-M_alt 'I 4/m m m'
_space_group_IT_number 139
_space_group_name_Hall '-I 4 2'
loop_
_atom_site_label
_atom_site_fract_x
_atom_site_fract_y
_atom_site_fract_z
La1 0.000 0.500 0.250
Pb1 0.000 0.000 0.144
Br1 0.000 0.000 0.500
```

(4)
Entry from Alexandria via LeMat-Bulk: LaPbBr after structural relaxation (PBE).

Output
calculated volume = 37.1 Å³/atom
E = -12.67 eV for the cell shown
Fermi-level density of states = 1.74 states/eV/f.u.

Structure (CIF):
```
data_LaPbBr
_cell_length_a 4.0035
_cell_length_b 4.0035
_cell_length_c 8.0285
_cell_angle_alpha 90.00
_cell_angle_beta 90.00
_cell_angle_gamma 120.00
_space_group_name_H-M_alt 'P 3 m 1'
_space_group_IT_number 156
loop_
_space_group_symop_operation_xyz
'x,y,z'
'-y,x-y,z'
'-x+y,-x,z'
'-y,-x,z'
'-x+y,y,z'
'x,x-y,z'
loop_
_atom_site_label
_atom_site_fract_x
_atom_site_fract_y
_atom_site_fract_z
La1 0.0000 0.0000 0.0000
Pb1 0.6667 0.3333 0.3105
Br1 0.3333 0.6667 0.7472
```

(5)
Entry from Alexandria via LeMat-Bulk: La2PbBr after structural relaxation (PBE).

Output
calculated volume = 36.0 Å³/atom
E = -34.43 eV for the cell shown
Fermi-level density of states = 4.99 states/eV/f.u.

Structure (CIF):
```
data_La2PbBr
_cell_length_a 3.830
_cell_length_b 6.347
_cell_length_c 11.833
_cell_angle_alpha 90.00
_cell_angle_beta 90.00
_cell_angle_gamma 90.00
_space_group_name_H-M_alt 'C m m 2'
_space_group_IT_number 35
loop_
_space_group_symop_operation_xyz
'x,y,z'
'-x,-y,z'
'-x,y,z'
'x,-y,z'
'x+1/2,y+1/2,z'
'-x+1/2,-y+1/2,z'
'-x+1/2,y+1/2,z'
'x+1/2,-y+1/2,z'
loop_
_atom_site_label
_atom_site_fract_x
_atom_site_fract_y
_atom_site_fract_z
La1 0.000 0.000 0.000
La2 0.000 0.500 0.236
Pb1 0.000 0.500 0.749
Br1 0.000 0.000 0.424
```

(6)
Entry from Alexandria via LeMat-Bulk: LaPbBr after structural relaxation (PBE).

Output
calculated volume = 36.2 Å³/atom
E = -47.06 eV for the cell shown
Fermi-level density of states = 5.47 states/eV/f.u.

Structure (CIF):
```
data_LaPbBr
_cell_length_a 7.575
_cell_length_b 7.575
_cell_length_c 7.575
_cell_angle_alpha 90.00
_cell_angle_beta 90.00
_cell_angle_gamma 90.00
_space_group_name_H-M_alt 'F -4 3 m'
_space_group_IT_number 216
_space_group_name_Hall 'F -4 2 3'
loop_
_atom_site_label
_atom_site_fract_x
_atom_site_fract_y
_atom_site_fract_z
La1 0.000 0.000 0.000
Pb1 0.250 0.250 0.750
Br1 0.250 0.250 0.250
```